This record from Alexandria via LeMat-Bulk describes TiInCl3 at its PBEsol-relaxed geometry. The functional is meta-GGA SCAN.

Lattice parameters (Å, degrees): 4.9020 4.9020 4.9020 90.00 90.00 90.00
Space group Pm-3m (No. 221)
One atom of each set of equivalent atoms:
Ti1 0.0000 0.0000 0.0000 x1
In1 0.5000 0.5000 0.5000 x1
Cl1 0.0000 0.0000 0.5000 x3

Properties
The uncorrected formation energy is -6.539 eV per formula unit. The calculation puts the density of states at the Fermi level at 3.98 states/eV per cell.

=====

This record from Alexandria via LeMat-Bulk describes Rb3TeW at its PBEsol-relaxed geometry. The functional is meta-GGA SCAN.

Lattice parameters (Å, degrees): 6.4728 6.4728 6.4728 90.00 90.00 90.00
Space group Pm-3m (No. 221)
One atom of each set of equivalent atoms:
Rb1 0.0000 0.0000 0.5000 x3
Te1 0.5000 0.5000 0.5000 x1
W1 0.0000 0.0000 0.0000 x1

Properties
The uncorrected formation energy is 5.327 eV per formula unit.

=====

- Number 2 is which compound?
  Rb3TeW

=====

- Which formula does entry 2 have?
  Rb3TeW